# CrInAs2

A geometry-optimized CrInAs2 structure (PBE-GGA, Alexandria via LeMat-Bulk).

```
CrInAs2
1.0
5.091 0.000 0.000
0.000 4.153 -0.578
0.000 1.362 3.969
Cr As In
1 2 1
Cartesian
0.000 1.997 1.207
0.000 5.367 3.281
2.546 2.080 1.297
2.546 4.346 2.692
```

Output
energy relative to the elements = 0.10 eV per atom
crystal system = monoclinic

***

# CaIn2As2

A geometry-optimized CaIn2As2 structure (PBE-GGA, Alexandria via LeMat-Bulk).

```
CaIn2As2
1.0
-6.520 -3.562 -2.550
3.350 -7.001 1.211
-1.428 -0.042 3.709
In As Ca
4 4 2
Cartesian
0.501 -5.057 2.265
-5.098 -5.547 0.104
-2.058 -8.302 1.244
-2.539 -2.302 1.126
-3.765 -3.462 -1.488
0.104 -2.953 0.007
-3.274 -7.609 -1.346
0.595 -7.100 0.149
0.000 0.000 0.000
-1.585 -5.281 -0.670
```

Output
energy relative to the elements = -0.30 eV per atom
crystal system = tetragonal

***

# YTcGe2Ir

A geometry-optimized YTcGe2Ir structure (PBE-GGA, Alexandria via LeMat-Bulk).

```
YTcGe2Ir
1.0
4.286 0.000 0.000
0.000 4.286 0.000
-2.143 -2.143 4.978
Y Ge Tc Ir
1 2 1 1
Cartesian
0.000 0.000 0.000
2.143 2.143 1.271
0.000 0.000 3.707
2.143 0.000 2.489
0.000 2.143 2.489
```

Output
energy relative to the elements = -0.62 eV per atom
crystal system = tetragonal

***

# Li5Sb

A geometry-optimized Li5Sb structure (PBE-GGA, Alexandria via LeMat-Bulk).

```
Li5Sb
1.0
-3.421 -1.983 2.339
0.936 -3.130 3.230
0.291 4.208 3.994
Sb Li
1 5
Cartesian
-0.500 2.179 5.250
-1.390 -0.412 6.267
-2.387 -4.553 5.810
-0.647 0.073 3.255
-1.546 -2.647 4.150
-2.233 -2.320 7.931
```

Output
relative energy among the computed polymorphs = 0 meV per atom
crystal system = trigonal

***

| no. | magnetic moment (μB per formula unit) |
| --- | --- |
| 1 | 3.18 |
| 2 | 0.00 |
| 3 | 0.00 |
| 4 | 0.00 |